The following is a DFT calculation (GGA-PBE) of a geometry-optimized Ta2AlICl structure.

a = 5.0846 Å, b = 5.9055 Å, c = 5.0846 Å
α = 90.00°, β = 90.00°, γ = 90.00°
Last column: nearest neighbours and their distance in Å.
Positions (direct):
1 I 0.0000 0.0000 0.0000  4 Ta 2.54
2 Cl 0.0000 0.5000 0.0000  2 I 2.95
3 Al 0.5000 0.5000 0.5000  4 Cl 3.60, 8 Ta 3.90
4 Ta 0.0000 0.0000 0.5000  2 I 2.54
5 Ta 0.5000 0.0000 0.0000  2 I 2.54

Its theoretical density is 6.00 g/cm³. The space group is P4/mmm (123). The density of states at the Fermi level is 5.114 states/eV/cell. The calculation puts the electronic total energy at -4.237 eV per atom.